(1)
Compound: BC
Source: Alexandria via LeMat-Bulk
Functional: GGA-PBE
Structure: relaxed

Calculated values
- symmetry = P1 (1)
- DOS at the Fermi energy (states/eV per cell) = 1.41
- total magnetization (μB/f.u.) = 0.0
- energy above the most stable polymorph in this dataset (meV/atom) = 255.3
- calculated formation energy (eV per atom) = 0.41

a b c (Å): 4.785 4.680 4.326
angles (deg): 99.80 98.51 119.97
Element x y z (fractional)
B1 0.204 0.895 0.568
B2 0.068 0.726 0.118
B3 0.578 0.507 0.483
B4 0.293 0.373 0.133
B5 0.193 0.495 0.558
B6 0.628 0.294 0.021
C1 0.330 0.686 0.957
C2 0.823 0.144 0.497
C3 0.686 0.010 0.126
C4 0.594 0.236 0.642
C5 0.961 0.991 0.007
C6 0.891 0.894 0.641

=====

(2)
Compound: B3C
Source: Alexandria via LeMat-Bulk
Functional: GGA-PBE
Structure: relaxed

Calculated values
- symmetry = P1 (1)
- DOS at the Fermi energy (states/eV per cell) = 1.71
- total magnetization (μB/f.u.) = 0.0
- energy above the most stable polymorph in this dataset (meV/atom) = 294.7
- calculated formation energy (eV per atom) = 0.54

a b c (Å): 5.023 5.478 4.675
angles (deg): 82.10 92.97 131.29
Element x y z (fractional)
B1 0.251 0.688 0.432
B2 0.062 0.691 0.109
B3 0.549 0.996 0.646
B4 0.417 0.056 0.935
B5 0.368 0.351 0.973
B6 0.057 0.302 0.587
B7 0.794 0.390 0.421
B8 0.667 0.620 0.232
B9 0.529 0.621 0.602
C1 0.695 0.360 0.090
C2 0.013 0.972 0.003
C3 0.848 0.951 0.719

=====

(3)
Compound: BC
Source: Alexandria via LeMat-Bulk
Functional: GGA-PBE
Structure: relaxed

Calculated values
- symmetry = P2 (3)
- DOS at the Fermi energy (states/eV per cell) = 2.71
- total magnetization (μB/f.u.) = 0.0
- energy above the most stable polymorph in this dataset (meV/atom) = 244.8
- calculated formation energy (eV per atom) = 0.40

a b c (Å): 5.644 5.737 4.089
angles (deg): 90.00 90.00 142.09
Element x y z (fractional)
B1 0.179 0.851 0.495
B2 0.798 0.647 0.204
B3 0.500 0.500 0.540
B4 0.202 0.353 0.204
B5 0.000 0.500 0.810
B6 0.821 0.149 0.495
C1 0.361 0.695 0.000
C2 0.500 0.000 0.224
C3 0.639 0.305 0.000
C4 0.320 0.144 0.774
C5 0.000 0.000 0.982
C6 0.680 0.856 0.774

=====

(4)
Compound: B7C5
Source: Alexandria via LeMat-Bulk
Functional: GGA-PBE
Structure: relaxed

Calculated values
- symmetry = Pm (6)
- DOS at the Fermi energy (states/eV per cell) = 0.68
- total magnetization (μB/f.u.) = 0.0
- energy above the most stable polymorph in this dataset (meV/atom) = 270.3
- calculated formation energy (eV per atom) = 0.43

a b c (Å): 2.593 4.833 6.808
angles (deg): 95.30 90.00 90.00
Element x y z (fractional)
B1 0.500 0.784 0.362
B2 0.500 0.215 0.886
B3 0.000 0.658 0.608
B4 0.000 0.331 0.312
B5 0.000 0.970 0.248
B6 0.000 0.046 0.015
B7 0.000 0.684 0.003
C1 0.500 0.491 0.240
C2 0.500 0.512 0.013
C3 0.000 0.308 0.572
C4 0.500 0.166 0.645
C5 0.500 0.834 0.595

=====

(5)
Compound: BC11
Source: Alexandria via LeMat-Bulk
Functional: GGA-PBE
Structure: relaxed

Calculated values
- symmetry = Cm (8)
- DOS at the Fermi energy (states/eV per cell) = 1.27
- total magnetization (μB/f.u.) = 0.0
- energy above the most stable polymorph in this dataset (meV/atom) = 20.0
- calculated formation energy (eV per atom) = 0.20

a b c (Å): 6.761 6.791 6.791
angles (deg): 158.59 141.75 44.28
Element x y z (fractional)
B1 0.995 0.336 0.659
C1 0.616 0.290 0.326
C2 0.499 0.166 0.333
C3 0.125 0.124 0.001
C4 0.001 0.001 0.999
C5 0.623 0.958 0.665
C6 0.498 0.832 0.665
C7 0.135 0.787 0.349
C8 0.003 0.666 0.337
C9 0.627 0.626 0.001
C10 0.500 0.501 0.000
C11 0.128 0.462 0.666

=====

(6)
Compound: B3C2
Source: Alexandria via LeMat-Bulk
Functional: GGA-PBE
Structure: relaxed

Calculated values
- symmetry = I-4m2 (119)
- DOS at the Fermi energy (states/eV per cell) = 1.63
- total magnetization (μB/f.u.) = 0.0
- energy above the most stable polymorph in this dataset (meV/atom) = 149.5
- calculated formation energy (eV per atom) = 0.36

a b c (Å): 11.505 11.505 11.505
angles (deg): 167.85 167.85 17.22
Element x y z (fractional)
B1 0.692 0.692 0.000
B2 0.750 0.250 0.500
B3 0.500 0.500 0.000
B4 0.308 0.308 0.000
B5 0.366 0.866 0.500
B6 0.134 0.634 0.500
C1 0.549 0.049 0.500
C2 0.085 0.085 0.000
C3 0.915 0.915 0.000
C4 0.951 0.451 0.500